## HgH2F6 (PBE)

Data for a geometry-optimized HgH2F6 structure.

Unit cell a=6.3567 b=6.3567 c=5.9819 alpha=91.35 beta=91.35 gamma=81.27
With the nearest neighbours (Å) after each atom.
Atoms (fractional coordinates):
Hg  0.2236  0.7764  0.7500  4 F 1.95-1.99
Hg  0.7764  0.2236  0.2500  4 F 1.95-1.99
H  0.2880  0.4493  0.3488  1 F 0.97
H  0.4493  0.2880  0.8488  1 F 0.97
H  0.5507  0.7120  0.1512  1 F 0.97
H  0.7120  0.5507  0.6512  1 F 0.97
F  0.0679  0.1788  0.1435  1 Hg 1.95
F  0.1748  0.5673  0.3725  1 H 0.97
F  0.1788  0.0679  0.6435  1 Hg 1.95
F  0.2636  0.4803  0.8612  1 H 1.57
F  0.4327  0.8252  0.1275  1 H 0.97
F  0.4803  0.2636  0.3612  1 H 1.57
F  0.5197  0.7364  0.6388  1 H 1.57
F  0.5673  0.1748  0.8725  1 H 0.97
F  0.7364  0.5197  0.1388  1 H 1.57
F  0.8212  0.9321  0.3565  1 Hg 1.95
F  0.8252  0.4327  0.6275  1 H 0.97
F  0.9321  0.8212  0.8565  1 Hg 1.95

E above lowest polymorph	0.000	eV/atom
space group	No. 15